Entry from Alexandria: Bi3SbW2O12 after structural relaxation (PBE with a Hubbard U).

The symmetry is No. 1. For the electronic total energy, the calculation gives -6.6141 eV/atom. The calculation puts the size of the total moment at 0.00 Bohr magnetons per cell.

Structure (POSCAR):
```
Bi3SbW2O12
1.0
5.4678 0.0000 0.0000
0.0274 5.5309 0.0000
0.0500 2.7527 8.5871
Bi Sb W O
3 1 2 12
Cartesian
0.0000 0.0000 0.0000 Bi
0.3349 2.6869 2.6557 Bi
2.7732 5.4713 2.6697 Bi
3.1002 2.7673 0.1407 Sb
0.1925 5.1014 5.6395 W
2.9128 2.3294 5.6478 W
0.6781 4.8382 3.7959 O
1.3896 1.0916 1.4015 O
1.5179 6.3603 5.9884 O
1.5502 3.5691 6.0040 O
1.7185 3.8395 1.3751 O
2.4213 2.0685 3.8002 O
3.4137 7.5842 7.4726 O
4.1252 1.2147 1.3054 O
4.2812 6.3196 5.2517 O
4.2710 3.5615 5.2636 O
4.3896 3.9139 1.2686 O
5.1866 4.8408 7.4719 O
```